[1]
The following is a PBE calculation of an optimized crystal structure of NiHg2Ir, from Alexandria.

Computed properties:
Energy above the most stable polymorph in this dataset: 0.202 eV per atom
Electronic total energy: -3.289 eV per atom
Crystal system: orthorhombic
Total magnetization: 0.0 Bohr magnetons per cell

Cell lengths 3.1722, 4.5100, 4.7711 Å; angles 90.00, 90.00, 90.00 degrees
Space group Pmmm (No. 47)
One atom of each set of equivalent atoms:
Ni 0.0000 0.0000 0.0000 x1
Hg 0.0000 0.5000 0.5000 x1
Hg 0.5000 0.5000 0.0000 x1
Ir 0.5000 0.0000 0.5000 x1

[2]
The following is a PBE calculation of an optimized crystal structure of NiHg2Ir, from Alexandria.

Computed properties:
Energy above the most stable polymorph in this dataset: 0.068 eV per atom
Electronic total energy: -3.423 eV per atom
Crystal system: monoclinic
Total magnetization: 0.0 Bohr magnetons per cell

Cell lengths 10.3476, 2.9371, 4.8136 Å; angles 90.00, 110.18, 90.00 degrees
Space group Cm (No. 8)
One atom of each set of equivalent atoms:
Ni 0.0000 0.0000 0.0000 x2
Hg 0.2454 0.0000 0.8471 x2
Hg 0.4568 0.0000 0.4781 x2
Ir 0.1959 0.5000 0.3143 x2

[3]
The following is a PBE calculation of an optimized crystal structure of NiHg3Ir, from Alexandria.

Computed properties:
Energy above the most stable polymorph in this dataset: 0.043 eV per atom
Electronic total energy: -2.049 eV per atom
Crystal system: cubic
Total magnetization: 0.7 Bohr magnetons per cell

Cell lengths 4.8225, 4.8225, 4.8225 Å; angles 90.00, 90.00, 90.00 degrees
Space group Pm-3m (No. 221)
One atom of each set of equivalent atoms:
Ni 0.0000 0.0000 0.0000 x1
Hg 0.0000 0.0000 0.5000 x3
Ir 0.5000 0.5000 0.5000 x1

[4]
The following is a PBE calculation of an optimized crystal structure of NiHg2Ir, from Alexandria.

Computed properties:
Energy above the most stable polymorph in this dataset: 0.000 eV per atom
Electronic total energy: -3.491 eV per atom
Crystal system: tetragonal
Total magnetization: 0.5 Bohr magnetons per cell

Cell lengths 2.9799, 2.9799, 7.8431 Å; angles 90.00, 90.00, 90.00 degrees
Space group P4mm (No. 99)
One atom of each set of equivalent atoms:
Ni 0.0000 0.0000 0.0000 x1
Hg 0.0000 0.0000 0.5604 x1
Hg 0.5000 0.5000 0.2335 x1
Ir 0.5000 0.5000 0.8235 x1

[5]
The following is a PBE calculation of an optimized crystal structure of NiHg2Ir, from Alexandria.

Computed properties:
Energy above the most stable polymorph in this dataset: 0.175 eV per atom
Electronic total energy: -3.316 eV per atom
Crystal system: orthorhombic
Total magnetization: 0.0 Bohr magnetons per cell

Cell lengths 3.0128, 4.9664, 9.1318 Å; angles 90.00, 90.00, 90.00 degrees
Space group Cmmm (No. 65)
One atom of each set of equivalent atoms:
Ni 0.0000 0.0000 0.0000 x2
Hg 0.0000 0.5000 0.2378 x4
Ir 0.0000 0.0000 0.5000 x2

[6]
The following is a PBE calculation of an optimized crystal structure of NiHg2Ir, from Alexandria.

Computed properties:
Energy above the most stable polymorph in this dataset: 0.417 eV per atom
Electronic total energy: -3.074 eV per atom
Crystal system: tetragonal
Total magnetization: 2.4 Bohr magnetons per cell

Cell lengths 3.9687, 3.9687, 19.0318 Å; angles 90.00, 90.00, 90.00 degrees
Space group I-42d (No. 122)
One atom of each set of equivalent atoms:
Ni 0.0000 0.0000 0.0000 x4
Hg 0.2478 0.2500 0.1250 x8
Ir 0.0000 0.0000 0.5000 x4

Respective ΔH_f (0 K) values: 0.522 0.389 1.060 0.320 0.495 0.737 eV per atom.